VASP calculation (GGA+U) on a relaxed Cr2InF crystal.

POSCAR file:
```
Cr2InF
1.0
-2.842 2.842 6.004
2.842 -2.842 6.004
2.842 2.842 -6.004
Cr In F
4 2 2
Direct
0.000 0.000 0.000 Cr
0.000 0.000 0.500 Cr
0.000 0.500 0.000 Cr
0.500 0.000 0.500 Cr
0.375 0.625 0.750 In
0.625 0.375 0.250 In
0.125 0.875 0.250 F
0.875 0.125 0.750 F
```

Calculated values
calculated density = 4.071 Mg/m³
calculated volume = 24.25 Å³/atom
E = -0.3721 Ry per atom
distance to the lowest polymorph of the same formula = 0.000 eV/atom
spin magnetization = 8.6 μB per formula unit
DOS(E_F) = 2.5 states/eV/f.u.